Material: Hg2OsW
Method: DFT, PBE-GGA
State: optimized geometry

Values from the calculation:
The value obtained for the calculated volume is 76.7 Å³/f.u. The value obtained for the formation energy is 0.406 eV/atom. As for the energy above the lowest structure with this stoichiometry: 0 meV per atom.

Cell: 2.9955 2.9890 8.6044 Å, 90.00 95.19 90.00°
Last column: nearest neighbours and their distance in Å.
Fractional coordinates of all 4 atoms:
1 Hg 0.0000 0.0000 0.0000  6 Hg 2.99-3.12, 4 Os 3.04-3.08
2 Hg 0.3045 0.5000 0.3098  6 Hg 2.99-3.12, 4 W 3.07-3.08
3 Os 0.4185 0.5000 0.7417  4 W 2.58
4 W 0.8758 0.0000 0.5696  4 Os 2.58

***

Material: ZrBP2
Method: DFT, PBE-GGA
State: optimized geometry

Values from the calculation:
The value obtained for the calculated volume is 59.1 Å³/f.u. The value obtained for the formation energy is -0.393 eV/atom.

Cell: 5.3577 5.3577 5.3577 Å, 110.81 110.81 106.82°
Last column: nearest neighbours and their distance in Å.
Fractional coordinates of all 8 atoms:
1 Zr 0.0000 0.0000 0.0000  8 P 2.71-2.99
2 Zr 0.7500 0.2500 0.5000  8 P 2.71-2.99
3 B 0.2500 0.7500 0.5000  4 P 1.96
4 B 0.5000 0.5000 0.0000  4 P 1.96
5 P 0.2197 0.6250 0.0947  2 B 1.96
6 P 0.3750 0.4697 0.5947  2 B 1.96
7 P 0.5303 0.1250 0.9053  2 B 1.96
8 P 0.8750 0.7803 0.4053  2 B 1.96

***

Material: Zr4AlOs
Method: DFT, PBE-GGA
State: optimized geometry

Values from the calculation:
The value obtained for the calculated volume is 128.9 Å³/f.u. The value obtained for the formation energy is -0.226 eV/atom. As for the energy above the lowest structure with this stoichiometry: 0 meV per atom.

Cell: 7.4090 7.4090 5.5672 Å, 101.76 101.76 114.38°
Last column: nearest neighbours and their distance in Å.
Fractional coordinates of all 12 atoms:
1 Zr 0.0708 0.7006 0.9310  2 Os 2.75-2.90, 2 Al 2.92-2.98, 1 Zr 3.04
2 Zr 0.2120 0.3692 0.6635  2 Os 2.74-2.76, 1 Al 2.95
3 Zr 0.2994 0.9292 0.5690  2 Os 2.75-2.90, 2 Al 2.92-2.98, 1 Zr 3.04
4 Zr 0.3692 0.2120 0.1635  2 Os 2.74-2.76, 1 Al 2.95
5 Zr 0.6308 0.7880 0.8365  2 Os 2.74-2.76, 1 Al 2.95
6 Zr 0.7006 0.0708 0.4310  2 Os 2.75-2.90, 2 Al 2.92-2.98, 1 Zr 3.04
7 Zr 0.7880 0.6308 0.3365  2 Os 2.74-2.76, 1 Al 2.95
8 Zr 0.9292 0.2994 0.0690  2 Os 2.75-2.90, 2 Al 2.92-2.98, 1 Zr 3.04
9 Al 0.3779 0.6221 0.2500  8 Zr 2.92-3.11
10 Al 0.6221 0.3779 0.7500  8 Zr 2.92-3.11
11 Os 0.0056 0.9944 0.7500  8 Zr 2.74-2.90, 2 Os 2.79
12 Os 0.9944 0.0056 0.2500  8 Zr 2.74-2.90, 2 Os 2.79

***

Material: CsTl2OsBr8
Method: DFT, PBE-GGA
State: optimized geometry

Values from the calculation:
The value obtained for the calculated volume is 457.2 Å³/f.u. The value obtained for the uncorrected formation energy is -7.63 eV per formula unit.

Cell: 6.4813 7.7768 9.9492 Å, 90.03 90.00 114.27°
Last column: nearest neighbours and their distance in Å.
Fractional coordinates of all 12 atoms:
1 Cs 0.0000 0.0000 0.0000  8 Br 3.68-4.08
2 Tl 0.0010 0.5003 0.2378  6 Br 3.09-3.43
3 Tl 0.9990 0.4997 0.7622  6 Br 3.09-3.43
4 Os 0.0000 0.0000 0.5000  6 Br 2.48-2.50
5 Br 0.2243 0.8075 0.5004  1 Os 2.48
6 Br 0.2525 0.2117 0.3237  1 Os 2.50
7 Br 0.2520 0.2122 0.6764  1 Os 2.50
8 Br 0.3156 0.6957 0.9996  2 Tl 3.09
9 Br 0.6844 0.3043 0.0004  2 Tl 3.09
10 Br 0.7480 0.7878 0.3236  1 Os 2.50
11 Br 0.7475 0.7883 0.6763  1 Os 2.50
12 Br 0.7757 0.1925 0.4996  1 Os 2.48

***

- Among the records above, which one has the lowest calculated volume?
  ZrBP2